# 1
This record from Alexandria describes a relaxed NaNp2Ni2S4 crystal. The functional is GGA-PBE.

Calculated values
The formation energy without anion corrections is -0.93 eV per atom. As for the volume: 17.5 Å³ per atom.

Unit cell a=13.939 b=3.621 c=6.752 alpha=90.00 beta=112.32 gamma=90.00
Space group C2/m (No. 12)
Symmetry-distinct sites (fractional):
1 Na 0.000 0.000 0.000 [2 per cell]
2 Np 0.132 0.000 0.571 [4 per cell]
3 Ni 0.187 0.500 0.002 [4 per cell]
4 S 0.028 0.500 0.734 [4 per cell]
5 S 0.211 0.000 0.230 [4 per cell]


# 2
This record from Alexandria describes a relaxed NaNp4Ni3S12 crystal. The functional is GGA-PBE.

Calculated values
The formation energy without anion corrections is -0.80 eV per atom. As for the volume: 21.9 Å³ per atom.

Unit cell a=9.572 b=9.572 c=9.572 alpha=90.00 beta=90.00 gamma=90.00
Space group Im-3 (No. 204)
Symmetry-distinct sites (fractional):
1 Na 0.000 0.000 0.000 [2 per cell]
2 Np 0.250 0.250 0.250 [8 per cell]
3 Ni 0.000 0.000 0.500 [6 per cell]
4 S 0.000 0.158 0.327 [24 per cell]


# 3
This record from Alexandria describes a relaxed NaNp2NiSe4 crystal. The functional is GGA-PBE.

Calculated values
The formation energy without anion corrections is -0.77 eV per atom. As for the volume: 22.8 Å³ per atom.

Unit cell a=7.098 b=7.098 c=7.249 alpha=90.00 beta=90.00 gamma=90.00
Space group I4/mmm (No. 139)
Symmetry-distinct sites (fractional):
1 Na 0.000 0.000 0.000 [2 per cell]
2 Np 0.000 0.500 0.250 [4 per cell]
3 Ni 0.000 0.000 0.500 [2 per cell]
4 Se 0.232 0.232 0.500 [8 per cell]